First-principles (PBE) data for a relaxed Sb4AsCl crystal, as listed in Alexandria.

Results
- volume (Å³ per atom) = 27.6
- total magnetization (μB/f.u.) = 0.00
- symmetry = No. 216
- density of states at the Fermi level (states/eV/cell) = 5.14
- VASP energy (eV/cell) = -20.63
- theoretical density (Mg/m³) = 6.00
- crystal system = cubic
- E_form (uncorrected) (eV/atom) = 0.393

a b c (Å): 6.1615 6.1615 6.1615
angles (deg): 60.00 60.00 60.00
Last column: nearest neighbours and their distance in Å.
Fractional positions:
Cl (0.0000, 0.0000, 0.0000)  12 Sb 3.61, 4 As 3.77
Sb (0.3725, 0.3725, 0.8824)  6 Sb 3.02-3.14
Sb (0.3725, 0.3725, 0.3725)  6 Sb 3.02-3.14
Sb (0.3725, 0.8824, 0.3725)  6 Sb 3.02-3.14
Sb (0.8824, 0.3725, 0.3725)  6 Sb 3.02-3.14
As (0.7500, 0.7500, 0.7500)  12 Sb 3.62, 4 Cl 3.77